Entry 1:
DFT (PBE-GGA) results for crystalline FePC2 at its relaxed geometry.

It has space group Cm (No. 8), with a = 4.8683 Å, b = 2.7427 Å, c = 5.8371 Å, α = 90.00°, β = 110.85° and γ = 90.00°. Symmetry generates all atoms from Fe at (0.0000, 0.0000, 0.0000), P at (0.2228, 0.5000, 0.3616), C at (0.0817, 0.5000, 0.7954) and C at (0.4686, 0.0000, 0.5301).

The calculation puts the calculated density at 5.05 g/cm³. The energy relative to the elements comes out at 0.3896 eV/atom.


Entry 2:
DFT (PBE-GGA) results for crystalline CeHoCO at its relaxed geometry.

It has space group R3m (No. 160, hexagonal axes), with a = 3.5568 Å, b = 3.5568 Å, c = 17.3380 Å, α = 90.00°, β = 90.00° and γ = 120.00°. Symmetry generates all atoms from Ce at (0.0000, 0.0000, 0.0000), Ho at (0.0000, 0.0000, 0.5029), C at (0.0000, 0.0000, 0.2531) and O at (0.0000, 0.0000, 0.7576).

The calculation puts the calculated density at 8.73 g/cm³. For the uncorrected formation energy, the calculation gives -160 kJ/mol of atoms.


Entry 3:
DFT (PBE-GGA) results for crystalline HfMgSc2C at its relaxed geometry.

It has space group P4/mmm (No. 123), with a = 4.6004 Å, b = 4.6004 Å, c = 4.5468 Å, α = 90.00°, β = 90.00° and γ = 90.00°. Symmetry generates all atoms from Hf at (0.0000, 0.0000, 0.0000), Mg at (0.5000, 0.5000, 0.0000), Sc at (0.0000, 0.5000, 0.5000) and C at (0.0000, 0.0000, 0.5000).

The calculation puts the calculated density at 5.26 g/cm³. The energy relative to the elements comes out at -0.3102 eV/atom.


Entry 4:
DFT (PBE-GGA) results for crystalline Tc2HgCl at its relaxed geometry.

It has space group R-3m (No. 166, hexagonal axes), with a = 2.9453 Å, b = 2.9453 Å, c = 26.0358 Å, α = 90.00°, β = 90.00° and γ = 120.00°. Symmetry generates all atoms from Tc at (0.0000, 0.0000, 0.2424), Hg at (0.0000, 0.0000, 0.0000) and Cl at (0.0000, 0.0000, 0.5000).

The calculation puts the calculated density at 11.00 g/cm³. Its offset from the most stable computed form is 617 meV per atom. For the uncorrected formation energy, the calculation gives 65 kJ/mol of atoms.


Entry 5:
DFT (PBE-GGA) results for crystalline Sm2ErUAs4 at its relaxed geometry.

It has space group P2/m (No. 10), with a = 7.1750 Å, b = 4.1313 Å, c = 7.1849 Å, α = 90.00°, β = 109.15° and γ = 90.00°. Symmetry generates all atoms from Sm at (0.0000, 0.0000, 0.0000), Sm at (0.5000, 0.5000, 0.0000), Er at (0.0000, 0.5000, 0.5000), U at (0.5000, 0.0000, 0.5000), As at (0.2494, 0.0000, 0.7391) and As at (0.2539, 0.5000, 0.2598).

The calculation puts the calculated density at 8.30 g/cm³. The energy relative to the elements comes out at -1.3224 eV/atom.


Entry 6:
DFT (PBE-GGA) results for crystalline NaPrIrO4 at its relaxed geometry.

It has space group Imma (No. 74), with a = 6.5599 Å, b = 7.3305 Å, c = 9.0676 Å, α = 90.00°, β = 90.00° and γ = 90.00°. Symmetry generates all atoms from Na at (0.0000, 0.2500, 0.1113), Pr at (0.0000, 0.0000, 0.5000), Ir at (0.2500, 0.2500, 0.7500), O at (0.0000, 0.0764, 0.7598) and O at (0.2257, 0.2500, 0.5237).

The calculation puts the calculated density at 6.40 g/cm³. For the uncorrected formation energy, the calculation gives -169 kJ/mol of atoms.